# NdSm5Tm2 | Alexandria | PBE | relaxed
data_NdSm5Tm2
_chemical_formula_sum 'Nd2 Sm10 Tm4'
_cell_length_a 7.200
_cell_length_b 14.401
_cell_length_c 5.077
_cell_angle_alpha 90.00
_cell_angle_beta 90.00
_cell_angle_gamma 90.00
_symmetry_space_group_name_H-M 'P b a m'
_symmetry_Int_Tables_number 55
_symmetry_space_group_name_Hall '-P 2 2ab'
loop_
_atom_site_label
_atom_site_fract_x
_atom_site_fract_y
_atom_site_fract_z
Nd1 0.000 0.000 0.000
Sm1 0.000 0.500 0.000
Sm2 0.001 0.250 0.000
Sm3 0.249 0.626 0.500
Tm1 0.250 0.375 0.500
# * DOS(E_F): 11.38 states/eV/f.u.
# * DFT total energy: -74.4 eV/cell
# * energy above the lowest structure with this stoichiometry: 0.000 eV/atom
# * total magnetization: 0.0 μB/cell
# * ΔE_f: 0.016 eV per atom



# Nd7SmTm2 | Alexandria | PBE | relaxed
data_Nd7SmTm2
_chemical_formula_sum 'Nd14 Sm2 Tm4'
_cell_length_a 8.970
_cell_length_b 16.150
_cell_length_c 5.754
_cell_angle_alpha 90.00
_cell_angle_beta 90.00
_cell_angle_gamma 90.00
_symmetry_space_group_name_H-M 'C m m m'
_symmetry_Int_Tables_number 65
_symmetry_space_group_name_Hall '-C 2 2'
loop_
_atom_site_label
_atom_site_fract_x
_atom_site_fract_y
_atom_site_fract_z
Nd1 0.000 0.000 0.000
Nd2 0.000 0.272 0.500
Nd3 0.180 0.384 0.000
Sm1 0.000 0.500 0.500
Tm1 0.000 0.205 0.000
# * DOS(E_F): 14.66 states/eV/f.u.
# * DFT total energy: -81.3 eV/cell
# * energy above the lowest structure with this stoichiometry: 0.446 eV/atom
# * total magnetization: 0.0 μB/cell
# * ΔE_f: 0.638 eV per atom



# NdSm7Tm4 | Alexandria | PBE | relaxed
data_NdSm7Tm4
_chemical_formula_sum 'Nd2 Sm14 Tm8'
_cell_length_a 16.023
_cell_length_b 5.946
_cell_length_c 9.417
_cell_angle_alpha 90.00
_cell_angle_beta 117.00
_cell_angle_gamma 90.00
_symmetry_space_group_name_H-M 'C 1 2/m 1'
_symmetry_Int_Tables_number 12
_symmetry_space_group_name_Hall '-C 2y'
loop_
_atom_site_label
_atom_site_fract_x
_atom_site_fract_y
_atom_site_fract_z
Nd1 0.000 0.000 0.000
Sm1 0.000 0.500 0.000
Sm2 0.087 0.000 0.454
Sm3 0.215 0.000 0.244
Sm4 0.216 0.000 0.886
Tm1 0.070 0.500 0.699
Tm2 0.169 0.500 0.379
# * DOS(E_F): 19.57 states/eV/f.u.
# * DFT total energy: -106.3 eV/cell
# * energy above the lowest structure with this stoichiometry: 0.213 eV/atom
# * total magnetization: 0.2 μB/cell
# * ΔE_f: 0.213 eV per atom



# Nd12SmTm3 | Alexandria | PBE | relaxed
data_Nd12SmTm3
_chemical_formula_sum 'Nd12 Sm1 Tm3'
_cell_length_a 5.149
_cell_length_b 5.149
_cell_length_c 20.557
_cell_angle_alpha 90.00
_cell_angle_beta 90.00
_cell_angle_gamma 90.00
_symmetry_space_group_name_H-M 'P 4/m m m'
_symmetry_Int_Tables_number 123
_symmetry_space_group_name_Hall '-P 4 2'
loop_
_atom_site_label
_atom_site_fract_x
_atom_site_fract_y
_atom_site_fract_z
Nd1 0.000 0.000 0.000
Nd2 0.000 0.000 0.248
Nd3 0.000 0.000 0.500
Nd4 0.000 0.500 0.124
Nd5 0.000 0.500 0.373
Sm1 0.500 0.500 0.500
Tm1 0.500 0.500 0.000
Tm2 0.500 0.500 0.249
# * DOS(E_F): 24.17 states/eV/f.u.
# * DFT total energy: -75.1 eV/cell
# * total magnetization: 0.0 μB/cell
# * ΔE_f: 0.014 eV per atom



# Nd3Sm3Tm8 | Alexandria | PBE | relaxed
data_Nd3Sm3Tm8
_chemical_formula_sum 'Nd6 Sm6 Tm16'
_cell_length_a 5.636
_cell_length_b 10.706
_cell_length_c 15.138
_cell_angle_alpha 90.00
_cell_angle_beta 90.00
_cell_angle_gamma 90.00
_symmetry_space_group_name_H-M 'I m m m'
_symmetry_Int_Tables_number 71
_symmetry_space_group_name_Hall '-I 2 2'
loop_
_atom_site_label
_atom_site_fract_x
_atom_site_fract_y
_atom_site_fract_z
Nd1 0.000 0.000 0.000
Nd2 0.000 0.500 0.313
Sm1 0.000 0.000 0.500
Sm2 0.000 0.301 0.500
Tm1 0.000 0.162 0.280
Tm2 0.000 0.341 0.102
# * DOS(E_F): 22.61 states/eV/f.u.
# * DFT total energy: -125.3 eV/cell
# * total magnetization: 0.0 μB/cell
# * ΔE_f: 0.111 eV per atom



# NdSm12Tm7 | Alexandria | PBE | relaxed
data_NdSm12Tm7
_chemical_formula_sum 'Nd2 Sm24 Tm14'
_cell_length_a 11.466
_cell_length_b 11.466
_cell_length_c 11.466
_cell_angle_alpha 90.00
_cell_angle_beta 90.00
_cell_angle_gamma 90.00
_symmetry_space_group_name_H-M 'I m -3'
_symmetry_Int_Tables_number 204
_symmetry_space_group_name_Hall '-I 2 2 3'
loop_
_atom_site_label
_atom_site_fract_x
_atom_site_fract_y
_atom_site_fract_z
Nd1 0.000 0.000 0.000
Sm1 0.000 0.256 0.258
Tm1 0.000 0.000 0.500
Tm2 0.250 0.250 0.250
# * DOS(E_F): 26.71 states/eV/f.u.
# * DFT total energy: -157.8 eV/cell
# * energy above the lowest structure with this stoichiometry: 0.587 eV/atom
# * total magnetization: 0.0 μB/cell
# * ΔE_f: 0.690 eV per atom



# Nd3Sm12Tm | Alexandria | PBE | relaxed
data_Nd3Sm12Tm
_chemical_formula_sum 'Nd3 Sm12 Tm1'
_cell_length_a 5.131
_cell_length_b 5.131
_cell_length_c 20.513
_cell_angle_alpha 90.00
_cell_angle_beta 90.00
_cell_angle_gamma 90.00
_symmetry_space_group_name_H-M 'P 4/m m m'
_symmetry_Int_Tables_number 123
_symmetry_space_group_name_Hall '-P 4 2'
loop_
_atom_site_label
_atom_site_fract_x
_atom_site_fract_y
_atom_site_fract_z
Nd1 0.000 0.000 0.000
Nd2 0.000 0.000 0.251
Sm1 0.000 0.500 0.126
Sm2 0.000 0.500 0.377
Sm3 0.500 0.500 0.000
Sm4 0.500 0.500 0.252
Sm5 0.500 0.500 0.500
Tm1 0.000 0.000 0.500
# * DOS(E_F): 23.54 states/eV/f.u.
# * DFT total energy: -75.2 eV/cell
# * total magnetization: 0.0 μB/cell
# * ΔE_f: 0.015 eV per atom



# Nd3Sm8Tm2 | Alexandria | PBE | relaxed
data_Nd3Sm8Tm2
_chemical_formula_sum 'Nd6 Sm16 Tm4'
_cell_length_a 13.190
_cell_length_b 11.778
_cell_length_c 6.212
_cell_angle_alpha 90.00
_cell_angle_beta 113.66
_cell_angle_gamma 90.00
_symmetry_space_group_name_H-M 'C 1 2/m 1'
_symmetry_Int_Tables_number 12
_symmetry_space_group_name_Hall '-C 2y'
loop_
_atom_site_label
_atom_site_fract_x
_atom_site_fract_y
_atom_site_fract_z
Nd1 0.000 0.000 0.000
Nd2 0.000 0.242 0.500
Sm1 0.055 0.500 0.285
Sm2 0.157 0.000 0.549
Sm3 0.174 0.257 0.173
Tm1 0.212 0.500 0.857
# * DOS(E_F): 22.66 states/eV/f.u.
# * DFT total energy: -117.9 eV/cell
# * energy above the lowest structure with this stoichiometry: 0.000 eV/atom
# * total magnetization: 0.0 μB/cell
# * ΔE_f: 0.158 eV per atom



Repeat the sixth record exactly.
# NdSm12Tm7 | Alexandria | PBE | relaxed
data_NdSm12Tm7
_chemical_formula_sum 'Nd2 Sm24 Tm14'
_cell_length_a 11.466
_cell_length_b 11.466
_cell_length_c 11.466
_cell_angle_alpha 90.00
_cell_angle_beta 90.00
_cell_angle_gamma 90.00
_symmetry_space_group_name_H-M 'I m -3'
_symmetry_Int_Tables_number 204
_symmetry_space_group_name_Hall '-I 2 2 3'
loop_
_atom_site_label
_atom_site_fract_x
_atom_site_fract_y
_atom_site_fract_z
Nd1 0.000 0.000 0.000
Sm1 0.000 0.256 0.258
Tm1 0.000 0.000 0.500
Tm2 0.250 0.250 0.250
# * DOS(E_F): 26.71 states/eV/f.u.
# * DFT total energy: -157.8 eV/cell
# * energy above the lowest structure with this stoichiometry: 0.587 eV/atom
# * total magnetization: 0.0 μB/cell
# * ΔE_f: 0.690 eV per atom



Question: total magnetization of number 3 (NdSm7Tm4)?
Answer: 0.2 μB/cell